The following is a DFT calculation (GGA-PBE) of crystalline RbTcSe2N at its relaxed geometry.

Unit cell a=5.667 b=5.667 c=4.350 alpha=90.00 beta=90.00 gamma=90.00
Atoms (fractional coordinates):
Rb: 0.000 0.000 0.000
Tc: 0.500 0.500 0.500
Se: 0.000 0.500 0.000
Se: 0.500 0.000 0.000
N: 0.000 0.000 0.500

Properties
Its energy above the most stable polymorph in this dataset is 13.21 eV per formula unit. As for the total energy: -2.72 eV/atom. As for the uncorrected formation energy: 2603 meV per atom.

The following is a DFT calculation (GGA-PBE) of crystalline PmNdTePt at its relaxed geometry.

Unit cell a=7.935 b=7.935 c=7.935 alpha=31.10 beta=31.10 gamma=31.10
Atoms (fractional coordinates):
Pm: 0.000 0.000 0.000
Nd: 0.524 0.524 0.524
Te: 0.761 0.761 0.761
Pt: 0.263 0.263 0.263

Properties
As for the total energy: -5.94 eV/atom. As for the uncorrected formation energy: -1261 meV per atom.

The following is a DFT calculation (GGA-PBE) of crystalline SrH3Pt at its relaxed geometry.

Unit cell a=4.598 b=5.055 c=6.085 alpha=113.60 beta=92.10 gamma=91.14
Atoms (fractional coordinates):
Sr: 0.247 0.141 0.275
Sr: 0.753 0.859 0.725
H: 0.037 0.671 0.350
H: 0.265 0.754 0.853
H: 0.273 0.091 0.826
H: 0.727 0.909 0.174
H: 0.735 0.246 0.147
H: 0.963 0.329 0.650
Pt: 0.260 0.423 0.840
Pt: 0.740 0.577 0.160

Properties
As for the total energy: -4.11 eV/atom.

The following is a DFT calculation (GGA-PBE) of crystalline Eu3Er5O12 at its relaxed geometry.

Unit cell a=11.746 b=11.746 c=11.746 alpha=109.47 beta=109.47 gamma=109.47
Atoms (fractional coordinates):
Eu: 0.125 0.250 0.375
Eu: 0.125 0.375 0.750
Eu: 0.250 0.375 0.125
Eu: 0.250 0.875 0.625
Eu: 0.375 0.125 0.250
Eu: 0.375 0.750 0.125
Eu: 0.625 0.250 0.875
Eu: 0.625 0.875 0.750
Eu: 0.750 0.125 0.375
Eu: 0.750 0.625 0.875
Eu: 0.875 0.625 0.250
Eu: 0.875 0.750 0.625
Er: 0.000 0.000 0.000
Er: 0.000 0.000 0.500
Er: 0.000 0.500 0.000
Er: 0.000 0.500 0.500
Er: 0.125 0.750 0.875
Er: 0.125 0.875 0.250
Er: 0.250 0.125 0.875
Er: 0.250 0.625 0.375
Er: 0.375 0.250 0.625
Er: 0.375 0.625 0.750
Er: 0.500 0.000 0.000
Er: 0.500 0.000 0.500
Er: 0.500 0.500 0.000
Er: 0.500 0.500 0.500
Er: 0.625 0.375 0.250
Er: 0.625 0.750 0.375
Er: 0.750 0.375 0.625
Er: 0.750 0.875 0.125
Er: 0.875 0.125 0.750
Er: 0.875 0.250 0.125
O: 0.040 0.215 0.128
O: 0.040 0.325 0.911
O: 0.087 0.715 0.675
O: 0.087 0.872 0.411
O: 0.089 0.628 0.413
O: 0.089 0.960 0.675
O: 0.128 0.040 0.215
O: 0.128 0.589 0.913
O: 0.175 0.215 0.587
O: 0.175 0.460 0.589
O: 0.215 0.128 0.040
O: 0.215 0.587 0.175
O: 0.285 0.325 0.913
O: 0.285 0.460 0.372
O: 0.325 0.911 0.040
O: 0.325 0.913 0.285
O: 0.372 0.285 0.460
O: 0.372 0.587 0.911
O: 0.411 0.087 0.872
O: 0.411 0.825 0.540
O: 0.413 0.089 0.628
O: 0.413 0.825 0.785
O: 0.460 0.372 0.285
O: 0.460 0.589 0.175
O: 0.540 0.411 0.825
O: 0.540 0.628 0.715
O: 0.587 0.175 0.215
O: 0.587 0.911 0.372
O: 0.589 0.175 0.460
O: 0.589 0.913 0.128
O: 0.628 0.413 0.089
O: 0.628 0.715 0.540
O: 0.675 0.087 0.715
O: 0.675 0.089 0.960
O: 0.715 0.540 0.628
O: 0.715 0.675 0.087
O: 0.785 0.413 0.825
O: 0.785 0.872 0.960
O: 0.825 0.540 0.411
O: 0.825 0.785 0.413
O: 0.872 0.411 0.087
O: 0.872 0.960 0.785
O: 0.911 0.040 0.325
O: 0.911 0.372 0.587
O: 0.913 0.128 0.589
O: 0.913 0.285 0.325
O: 0.960 0.675 0.089
O: 0.960 0.785 0.872

Properties
As for the total energy: -8.77 eV/atom. As for the uncorrected formation energy: -3109 meV per atom.

The following is a DFT calculation (GGA-PBE) of crystalline Al2C at its relaxed geometry.

Unit cell a=13.778 b=13.778 c=13.778 alpha=166.07 beta=166.07 gamma=19.75
Atoms (fractional coordinates):
Al: 0.042 0.792 0.250
Al: 0.123 0.373 0.750
Al: 0.208 0.958 0.250
Al: 0.373 0.123 0.250
Al: 0.627 0.877 0.750
Al: 0.792 0.042 0.750
Al: 0.877 0.627 0.250
Al: 0.958 0.208 0.750
C: 0.323 0.573 0.750
C: 0.427 0.677 0.750
C: 0.573 0.323 0.250
C: 0.677 0.427 0.250

Properties
As for the total energy: -4.71 eV/atom. The calculation puts the formation energy at 19.71 kcal/mol of atoms.

The following is a DFT calculation (GGA-PBE) of crystalline TbNdSm2Te5 at its relaxed geometry.

Unit cell a=5.554 b=5.554 c=11.833 alpha=90.00 beta=90.00 gamma=90.00
Atoms (fractional coordinates):
Tb: 0.000 0.000 0.000
Nd: 0.000 0.000 0.500
Sm: 0.500 0.500 0.152
Sm: 0.500 0.500 0.848
Te: 0.000 0.000 0.250
Te: 0.000 0.000 0.750
Te: 0.000 0.500 0.000
Te: 0.500 0.000 0.000
Te: 0.500 0.500 0.500

Properties
As for the total energy: -4.61 eV/atom. As for the uncorrected formation energy: -771 meV per atom.